(1)
Here is a crystal of DyMo6Se8 relaxed with PBEsol from Alexandria via LeMat-Bulk. Energies are from SCAN.

Lattice parameters (Å, degrees): 9.3028 9.3028 11.7586 90.00 90.00 120.00
Space group R-3 (No. 148, hexagonal axes)
One atom of each set of equivalent atoms:
Dy 0.0000 0.0000 0.0000
Mo 0.0192 0.8451 0.4047
Se 0.0000 0.0000 0.2369
Se 0.0098 0.3804 0.7512

Computed properties:
The calculation puts the energy at -28.626 eV/atom. Its uncorrected formation energy is -777 meV/atom.

(2)
Here is a crystal of DyN relaxed with PBEsol from Alexandria via LeMat-Bulk. Energies are from SCAN.

Lattice parameters (Å, degrees): 4.853 4.853 4.853 90.00 90.00 90.00
Space group Fm-3m (No. 225)
One atom of each set of equivalent atoms:
Dy 0.000 0.000 0.000
N 0.000 0.000 0.500

Computed properties:
The calculation puts the energy at -30.547 eV/atom. Its uncorrected formation energy is -2003 meV/atom.

(3)
Here is a crystal of Dy4Te3N2 relaxed with PBEsol from Alexandria via LeMat-Bulk. Energies are from SCAN.

Lattice parameters (Å, degrees): 7.190 11.570 12.829 90.00 122.39 90.00
Space group P2_1/c (No. 14)
One atom of each set of equivalent atoms:
Dy 0.064 0.157 0.390
Dy 0.135 0.100 0.166
Dy 0.226 0.644 0.865
Dy 0.295 0.086 0.815
Te 0.223 0.657 0.600
Te 0.362 0.516 0.107
Te 0.444 0.162 0.074
N 0.020 0.008 0.272
N 0.087 0.243 0.747

Computed properties:
The calculation puts the energy at -37.497 eV/atom. Its uncorrected formation energy is -1772 meV/atom.

(4)
Here is a crystal of NaDy3 relaxed with PBEsol from Alexandria via LeMat-Bulk. Energies are from SCAN.

Lattice parameters (Å, degrees): 7.812 7.812 7.812 90.00 90.00 90.00
Space group Fm-3m (No. 225)
One atom of each set of equivalent atoms:
Na 0.000 0.000 0.000
Dy 0.000 0.000 0.500
Dy 0.250 0.250 0.250

Computed properties:
The calculation puts the energy at -36.595 eV/atom. The calculation puts the formation energy at 0.306 eV per atom.

(5)
Here is a crystal of NaDyO2 relaxed with PBEsol from Alexandria via LeMat-Bulk. Energies are from SCAN.

Lattice parameters (Å, degrees): 3.3878 3.3878 16.5037 90.00 90.00 120.00
Space group R-3m (No. 166, hexagonal axes)
One atom of each set of equivalent atoms:
Na 0.0000 0.0000 0.0000
Dy 0.0000 0.0000 0.5000
O 0.0000 0.0000 0.2372

Computed properties:
The calculation puts the energy at -19.201 eV/atom. Its uncorrected formation energy is -3083 meV/atom.

(6)
Here is a crystal of NaDyO2 relaxed with PBEsol from Alexandria via LeMat-Bulk. Energies are from SCAN.

Lattice parameters (Å, degrees): 4.567 4.567 10.268 90.00 90.00 90.00
Space group I4_1/amd (No. 141, origin choice 2)
One atom of each set of equivalent atoms:
Na 0.000 0.250 0.375
Dy 0.000 0.250 0.875
O 0.000 0.250 0.096

Computed properties:
The calculation puts the energy at -19.207 eV/atom. Its uncorrected formation energy is -3089 meV/atom.

(7)
Here is a crystal of NaDyO2 relaxed with PBEsol from Alexandria via LeMat-Bulk. Energies are from SCAN.

Lattice parameters (Å, degrees): 6.600 13.132 5.910 90.00 122.74 90.00
Space group C2/c (No. 15)
One atom of each set of equivalent atoms:
Na 0.000 0.056 0.250
Na 0.000 0.180 0.750
Dy 0.000 0.307 0.250
Dy 0.000 0.433 0.750
O 0.205 0.437 0.206
O 0.229 0.312 0.708

Computed properties:
The calculation puts the energy at -19.209 eV/atom. Its uncorrected formation energy is -3091 meV/atom.

(8)
Here is a crystal of Na2DyPWO8 relaxed with PBEsol from Alexandria via LeMat-Bulk. Energies are from SCAN.

Lattice parameters (Å, degrees): 6.874 12.056 18.013 90.00 90.00 90.00
Space group Ibca (No. 73)
One atom of each set of equivalent atoms:
Na 0.006 0.052 0.155
Dy 0.250 0.179 0.500
P 0.250 0.068 0.000
W 0.000 0.250 0.322
O 0.039 0.129 0.768
O 0.074 0.148 0.007
O 0.212 0.227 0.379
O 0.240 0.009 0.569

Computed properties:
The calculation puts the energy at -17.093 eV/atom. Its uncorrected formation energy is -2772 meV/atom.

(9)
Here is a crystal of NaDy3Ti2Sb2O14 relaxed with PBEsol from Alexandria via LeMat-Bulk. Energies are from SCAN.

Lattice parameters (Å, degrees): 7.229 7.202 12.466 90.00 125.07 90.00
Space group P2/c (No. 13)
One atom of each set of equivalent atoms:
Na 0.000 0.000 0.000
Dy 0.000 0.248 0.250
Dy 0.000 0.500 0.000
Dy 0.500 0.229 0.250
Ti 0.500 0.263 0.750
Ti 0.500 0.500 0.000
Sb 0.000 0.254 0.750
Sb 0.500 0.000 0.000
O 0.134 0.262 0.132
O 0.168 0.041 0.871
O 0.174 0.458 0.877
O 0.176 0.271 0.675
O 0.421 0.251 0.420
O 0.423 0.449 0.621
O 0.443 0.049 0.634

Computed properties:
The calculation puts the energy at -18.498 eV/atom. The value obtained for the energy relative to the lowest polymorph listed for this composition is 0.000 eV per atom. Its uncorrected formation energy is -2978 meV/atom.

(10)
Here is a crystal of NaDy3Ti2Sb2O14 relaxed with PBEsol from Alexandria via LeMat-Bulk. Energies are from SCAN.

Lattice parameters (Å, degrees): 12.394 7.276 7.138 90.00 124.66 90.00
Space group C2/m (No. 12)
One atom of each set of equivalent atoms:
Na 0.000 0.000 0.000
Dy 0.000 0.000 0.500
Dy 0.250 0.250 0.000
Ti 0.000 0.500 0.000
Ti 0.000 0.500 0.500
Sb 0.250 0.250 0.500
O 0.072 0.500 0.820
O 0.123 0.297 0.580
O 0.130 0.306 0.174
O 0.133 0.000 0.870
O 0.168 0.000 0.426

Computed properties:
The calculation puts the energy at -18.493 eV/atom. The value obtained for the energy relative to the lowest polymorph listed for this composition is 0.004 eV per atom. Its uncorrected formation energy is -2974 meV/atom.

(11)
Here is a crystal of NaDyTl2 relaxed with PBEsol from Alexandria via LeMat-Bulk. Energies are from SCAN.

Lattice parameters (Å, degrees): 7.391 7.391 7.391 90.00 90.00 90.00
Space group Fm-3m (No. 225)
One atom of each set of equivalent atoms:
Na 0.000 0.000 0.000
Dy 0.000 0.000 0.500
Tl 0.250 0.250 0.250

Computed properties:
The calculation puts the energy at -49.588 eV/atom. The calculation puts the formation energy at -0.406 eV per atom.

(12)
Here is a crystal of Dy2Nb2S7O30 relaxed with PBEsol from Alexandria via LeMat-Bulk. Energies are from SCAN.

Lattice parameters (Å, degrees): 12.692 12.692 7.020 90.00 90.00 90.00
Space group P-42_1m (No. 113)
One atom of each set of equivalent atoms:
Dy 0.196 0.304 0.093
Nb 0.140 0.640 0.520
S 0.000 0.500 0.154
S 0.065 0.823 0.194
S 0.124 0.376 0.609
O 0.008 0.357 0.637
O 0.043 0.212 0.165
O 0.063 0.075 0.782
O 0.067 0.567 0.278
O 0.068 0.432 0.038
O 0.106 0.772 0.378
O 0.134 0.788 0.039
O 0.155 0.345 0.419
O 0.179 0.321 0.762
O 0.205 0.705 0.710

Computed properties:
The calculation puts the energy at -12.134 eV/atom. Its uncorrected formation energy is -1983 meV/atom.

(13)
Here is a crystal of DyNbRu2 relaxed with PBEsol from Alexandria via LeMat-Bulk. Energies are from SCAN.

Lattice parameters (Å, degrees): 6.462 6.462 6.462 90.00 90.00 90.00
Space group Fm-3m (No. 225)
One atom of each set of equivalent atoms:
Dy 0.000 0.000 0.000
Nb 0.000 0.000 0.500
Ru 0.250 0.250 0.250

Computed properties:
The calculation puts the energy at -38.049 eV/atom. The calculation puts the formation energy at -0.404 eV per atom.

(14)
Here is a crystal of DyNi5 relaxed with PBEsol from Alexandria via LeMat-Bulk. Energies are from SCAN.

Lattice parameters (Å, degrees): 4.7894 4.7894 3.9007 90.00 90.00 120.00
Space group P6/mmm (No. 191)
One atom of each set of equivalent atoms:
Dy 0.0000 0.0000 0.0000
Ni 0.0000 0.5000 0.5000
Ni 0.3333 0.6667 0.0000

Computed properties:
The calculation puts the energy at -21.765 eV/atom. The calculation puts the formation energy at -0.321 eV per atom.